one:
A plane-wave DFT calculation with PBE-GGA was carried out for an optimized crystal structure of NaSnHg6.

```
NaSnHg6
1.0
5.169 0.000 0.000
0.000 6.463 0.433
0.000 -2.474 5.987
Na Sn Hg
1 1 6
Direct
0.500 0.382 0.618
0.000 0.126 0.874
0.000 0.077 0.375
0.000 0.625 0.923
0.000 0.574 0.426
0.500 0.423 0.125
0.500 0.875 0.577
0.500 0.916 0.084
```

Results
DOS(E_F) ... 2.2 states/eV/f.u.
Total magnetization ... 0.00 μB per atom

two:
A plane-wave DFT calculation with PBE-GGA was carried out for an optimized crystal structure of NaSnHg6.

```
NaSnHg6
1.0
-2.735 1.817 -4.195
-4.565 -0.822 2.621
0.341 6.839 2.740
Na Sn Hg
1 1 6
Direct
0.000 0.000 0.000
0.000 0.000 0.500
0.500 0.500 0.000
0.500 0.500 0.500
0.500 0.000 0.253
0.500 0.000 0.747
0.000 0.500 0.253
0.000 0.500 0.747
```

Results
DOS(E_F) ... 3.6 states/eV/f.u.
Total magnetization ... 0.00 μB per atom

Relative energy table, unit meV/atom: one 0; two 14

one:
A plane-wave DFT calculation with PBE-GGA was carried out for an optimized crystal structure of Na2SnHg6.

```
Na2SnHg6
1.0
5.307 0.000 0.004
0.000 9.157 0.000
0.000 0.000 9.480
Na Sn Hg
4 2 12
Direct
0.000 0.335 0.753
0.500 0.835 0.747
0.500 0.165 0.253
0.000 0.665 0.247
0.500 0.500 0.000
0.000 0.000 0.500
0.000 0.999 0.166
0.000 0.664 0.585
0.000 0.670 0.913
0.500 0.170 0.587
0.500 0.164 0.915
0.500 0.499 0.334
0.000 0.001 0.834
0.000 0.336 0.415
0.000 0.330 0.087
0.500 0.830 0.413
0.500 0.836 0.085
0.500 0.501 0.666
```

Results
DOS(E_F) ... 2.7 states/eV/f.u.
Total magnetization ... 0.00 μB per atom

two:
A plane-wave DFT calculation with PBE-GGA was carried out for an optimized crystal structure of Na2SnHg6.

```
Na2SnHg6
1.0
3.267 0.261 0.250
2.206 8.939 2.284
2.206 2.674 8.830
Na Sn Hg
2 1 6
Direct
0.332 0.334 0.334
0.668 0.666 0.666
0.000 0.000 0.000
0.154 0.001 0.333
0.846 0.999 0.667
0.846 0.667 0.999
0.500 0.334 0.666
0.500 0.666 0.334
0.154 0.333 0.001
```

Results
DOS(E_F) ... 2.9 states/eV/f.u.
Total magnetization ... 0.00 μB per atom

Relative energy table, unit meV/atom: one 0; two 18

one:
A plane-wave DFT calculation with PBE-GGA was carried out for an optimized crystal structure of NaSn3Hg2.

```
NaSn3Hg2
1.0
-4.874 1.233 -2.533
-1.918 -5.167 1.144
0.155 5.638 9.687
Na Sn Hg
2 6 4
Direct
0.077 0.923 0.250
0.923 0.077 0.750
0.214 0.535 0.432
0.465 0.786 0.068
0.786 0.465 0.568
0.535 0.214 0.932
0.616 0.384 0.250
0.384 0.616 0.750
0.073 0.308 0.085
0.692 0.927 0.415
0.927 0.692 0.915
0.308 0.073 0.585
```

Results
DOS(E_F) ... 1.7 states/eV/f.u.
Total magnetization ... 0.00 μB per atom

two:
A plane-wave DFT calculation with PBE-GGA was carried out for an optimized crystal structure of NaSn3Hg2.

```
NaSn3Hg2
1.0
-2.601 3.598 0.391
-6.350 -7.058 -2.702
2.774 1.047 8.811
Na Sn Hg
2 6 4
Direct
0.884 0.768 0.962
0.116 0.232 0.038
0.280 0.561 0.619
0.922 0.843 0.545
0.584 0.168 0.699
0.416 0.832 0.301
0.078 0.157 0.455
0.720 0.439 0.381
0.465 0.930 0.818
0.535 0.070 0.182
0.768 0.537 0.129
0.232 0.463 0.871
```

Results
DOS(E_F) ... 2.1 states/eV/f.u.
Total magnetization ... 0.00 μB per atom

Relative energy table, unit meV/atom: one 13; two 0